1.
TbPr5Nd7 | PBE | relaxed

- DOS(E_F): 21.6 states/eV/f.u.
- Energy of formation: 0.2251 eV per atom

a b c (Å): 8.9524 8.9524 8.9524
angles (deg): 134.48 101.74 95.50
Element x y z (fractional)
Tb  0.0000  0.0000  0.0000
Pr  0.0383  0.0404  0.4507
Pr  0.0383  0.5876  0.9979
Pr  0.5896  0.0404  0.0021
Pr  0.5896  0.5876  0.5493
Pr  0.7694  0.2694  0.5000
Nd  0.2192  0.5511  0.6682
Nd  0.2940  0.7940  0.5000
Nd  0.3036  0.3036  0.0000
Nd  0.3719  0.0542  0.3177
Nd  0.6081  0.6081  0.0000
Nd  0.7365  0.0542  0.6823
Nd  0.8829  0.5511  0.3318

2.
Tm6Ta4Al43 | PBE | relaxed

- DOS(E_F): 16.4 states/eV/f.u.
- Energy of formation: -0.2988 eV per atom

a b c (Å): 11.0975 11.0975 17.7098
angles (deg): 90.00 90.00 120.00
Element x y z (fractional)
Tm  0.0000  0.4695  0.0966
Tm  0.0000  0.4695  0.4034
Tm  0.0000  0.5305  0.5966
Tm  0.0000  0.5305  0.9034
Tm  0.4695  0.0000  0.0966
Tm  0.4695  0.0000  0.4034
Tm  0.4695  0.4695  0.5966
Tm  0.4695  0.4695  0.9034
Tm  0.5305  0.0000  0.5966
Tm  0.5305  0.0000  0.9034
Tm  0.5305  0.5305  0.0966
Tm  0.5305  0.5305  0.4034
Ta  0.0000  0.0000  0.0000
Ta  0.0000  0.0000  0.5000
Ta  0.0000  0.2742  0.2500
Ta  0.0000  0.7258  0.7500
Ta  0.2742  0.0000  0.2500
Ta  0.2742  0.2742  0.7500
Ta  0.7258  0.0000  0.7500
Ta  0.7258  0.7258  0.2500
Al  0.0000  0.1487  0.7500
Al  0.0000  0.1592  0.1151
Al  0.0000  0.1592  0.3849
Al  0.0000  0.2568  0.5291
Al  0.0000  0.2568  0.9709
Al  0.0000  0.7432  0.0291
Al  0.0000  0.7432  0.4709
Al  0.0000  0.8408  0.6151
Al  0.0000  0.8408  0.8849
Al  0.0000  0.8513  0.2500
Al  0.1487  0.0000  0.7500
Al  0.1487  0.1487  0.2500
Al  0.1498  0.5555  0.2500
Al  0.1498  0.5943  0.7500
Al  0.1583  0.3956  0.6622
Al  0.1583  0.3956  0.8378
Al  0.1583  0.7627  0.1622
Al  0.1583  0.7627  0.3378
Al  0.1592  0.0000  0.1151
Al  0.1592  0.0000  0.3849
Al  0.1592  0.1592  0.6151
Al  0.1592  0.1592  0.8849
Al  0.2373  0.3956  0.1622
Al  0.2373  0.3956  0.3378
Al  0.2373  0.8417  0.6622
Al  0.2373  0.8417  0.8378
Al  0.2469  0.4938  0.0000
Al  0.2469  0.4938  0.5000
Al  0.2469  0.7531  0.0000
Al  0.2469  0.7531  0.5000
Al  0.2568  0.0000  0.5291
Al  0.2568  0.0000  0.9709
Al  0.2568  0.2568  0.0291
Al  0.2568  0.2568  0.4709
Al  0.3333  0.6667  0.1246
Al  0.3333  0.6667  0.3754
Al  0.3333  0.6667  0.6246
Al  0.3333  0.6667  0.8754
Al  0.3956  0.1583  0.6622
Al  0.3956  0.1583  0.8378
Al  0.3956  0.2373  0.1622
Al  0.3956  0.2373  0.3378
Al  0.4057  0.5555  0.7500
Al  0.4057  0.8502  0.2500
Al  0.4445  0.5943  0.2500
Al  0.4445  0.8502  0.7500
Al  0.4938  0.2469  0.0000
Al  0.4938  0.2469  0.5000
Al  0.5062  0.7531  0.0000
Al  0.5062  0.7531  0.5000
Al  0.5555  0.1498  0.2500
Al  0.5555  0.4057  0.7500
Al  0.5943  0.1498  0.7500
Al  0.5943  0.4445  0.2500
Al  0.6044  0.7627  0.6622
Al  0.6044  0.7627  0.8378
Al  0.6044  0.8417  0.1622
Al  0.6044  0.8417  0.3378
Al  0.6667  0.3333  0.1246
Al  0.6667  0.3333  0.3754
Al  0.6667  0.3333  0.6246
Al  0.6667  0.3333  0.8754
Al  0.7432  0.0000  0.0291
Al  0.7432  0.0000  0.4709
Al  0.7432  0.7432  0.5291
Al  0.7432  0.7432  0.9709
Al  0.7531  0.2469  0.0000
Al  0.7531  0.2469  0.5000
Al  0.7531  0.5062  0.0000
Al  0.7531  0.5062  0.5000
Al  0.7627  0.1583  0.1622
Al  0.7627  0.1583  0.3378
Al  0.7627  0.6044  0.6622
Al  0.7627  0.6044  0.8378
Al  0.8408  0.0000  0.6151
Al  0.8408  0.0000  0.8849
Al  0.8408  0.8408  0.1151
Al  0.8408  0.8408  0.3849
Al  0.8417  0.2373  0.6622
Al  0.8417  0.2373  0.8378
Al  0.8417  0.6044  0.1622
Al  0.8417  0.6044  0.3378
Al  0.8502  0.4057  0.2500
Al  0.8502  0.4445  0.7500
Al  0.8513  0.0000  0.2500
Al  0.8513  0.8513  0.7500

Question: energy of formation of number 1 (TbPr5Nd7)?
Answer: 0.2251 eV per atom